(1)
An optimized crystal structure of Ac5Ir2PtRh. Source: the Alexandria database, functional GGA-PBE.

Summary:
Crystal system ... orthorhombic
Energy relative to the elements ... -0.6053 eV per atom

Geometry as CIF:
```
data_Ac5Ir2PtRh
_chemical_formula_sum 'Ac10 Ir4 Pt2 Rh2'
_cell_length_a 10.284
_cell_length_b 10.284
_cell_length_c 12.858
_cell_angle_alpha 90.00
_cell_angle_beta 90.00
_cell_angle_gamma 155.95
_symmetry_space_group_name_H-M 'P 1'
_symmetry_Int_Tables_number 1
loop_
_symmetry_equiv_pos_as_xyz
'x,y,z'
loop_
_atom_site_label
_atom_site_type_symbol
_atom_site_fract_x
_atom_site_fract_y
_atom_site_fract_z
Ac1 Ac 0.025 0.975 0.500
Ac2 Ac 0.174 0.826 0.013
Ac3 Ac 0.180 0.820 0.350
Ac4 Ac 0.193 0.807 0.683
Ac5 Ac 0.466 0.534 0.248
Ac6 Ac 0.534 0.466 0.748
Ac7 Ac 0.807 0.193 0.183
Ac8 Ac 0.820 0.180 0.850
Ac9 Ac 0.826 0.174 0.513
Ac10 Ac 0.975 0.025 0.000
Ir1 Ir 0.329 0.671 0.350
Ir2 Ir 0.377 0.623 0.042
Ir3 Ir 0.623 0.377 0.542
Ir4 Ir 0.671 0.329 0.850
Pt1 Pt 0.062 0.938 0.188
Pt2 Pt 0.938 0.062 0.688
Rh1 Rh 0.346 0.654 0.684
Rh2 Rh 0.654 0.346 0.184
```

***

(2)
An optimized crystal structure of Ac5IrPt2Rh. Source: the Alexandria database, functional GGA-PBE.

Summary:
Crystal system ... orthorhombic
Energy relative to the elements ... -0.6973 eV per atom

Geometry as CIF:
```
data_Ac5IrPt2Rh
_chemical_formula_sum 'Ac10 Ir2 Pt4 Rh2'
_cell_length_a 9.162
_cell_length_b 9.162
_cell_length_c 15.295
_cell_angle_alpha 90.00
_cell_angle_beta 90.00
_cell_angle_gamma 152.22
_symmetry_space_group_name_H-M 'P 1'
_symmetry_Int_Tables_number 1
loop_
_symmetry_equiv_pos_as_xyz
'x,y,z'
loop_
_atom_site_label
_atom_site_type_symbol
_atom_site_fract_x
_atom_site_fract_y
_atom_site_fract_z
Ac1 Ac 0.015 0.985 0.500
Ac2 Ac 0.097 0.903 0.750
Ac3 Ac 0.219 0.781 0.133
Ac4 Ac 0.254 0.746 0.403
Ac5 Ac 0.418 0.582 0.790
Ac6 Ac 0.582 0.418 0.290
Ac7 Ac 0.746 0.254 0.903
Ac8 Ac 0.781 0.219 0.633
Ac9 Ac 0.903 0.097 0.250
Ac10 Ac 0.985 0.015 0.000
Ir1 Ir 0.051 0.949 0.171
Ir2 Ir 0.949 0.051 0.671
Pt1 Pt 0.351 0.649 0.987
Pt2 Pt 0.430 0.570 0.389
Pt3 Pt 0.570 0.430 0.889
Pt4 Pt 0.649 0.351 0.487
Rh1 Rh 0.255 0.745 0.764
Rh2 Rh 0.745 0.255 0.264
```

***

(3)
An optimized crystal structure of Ac6IrPtRh2. Source: the Alexandria database, functional GGA-PBE.

Summary:
Crystal system ... trigonal
Energy relative to the elements ... -0.7072 eV per atom

Geometry as CIF:
```
data_Ac6IrPtRh2
_chemical_formula_sum 'Ac6 Ir1 Pt1 Rh2'
_cell_length_a 8.208
_cell_length_b 8.208
_cell_length_c 8.208
_cell_angle_alpha 54.39
_cell_angle_beta 54.39
_cell_angle_gamma 54.39
_symmetry_space_group_name_H-M 'P 1'
_symmetry_Int_Tables_number 1
loop_
_symmetry_equiv_pos_as_xyz
'x,y,z'
loop_
_atom_site_label
_atom_site_type_symbol
_atom_site_fract_x
_atom_site_fract_y
_atom_site_fract_z
Ac1 Ac 0.000 0.329 0.670
Ac2 Ac 0.178 0.823 0.493
Ac3 Ac 0.329 0.670 0.000
Ac4 Ac 0.493 0.178 0.823
Ac5 Ac 0.670 0.000 0.329
Ac6 Ac 0.823 0.493 0.178
Ir1 Ir 0.413 0.413 0.413
Pt1 Pt 0.912 0.912 0.912
Rh1 Rh 0.084 0.084 0.084
Rh2 Rh 0.585 0.585 0.585
```

***

(4)
An optimized crystal structure of Ac8IrPtRh2. Source: the Alexandria database, functional GGA-PBE.

Summary:
Crystal system ... monoclinic
Energy relative to the elements ... -0.6149 eV per atom

Geometry as CIF:
```
data_Ac8IrPtRh2
_chemical_formula_sum 'Ac8 Ir1 Pt1 Rh2'
_cell_length_a 7.054
_cell_length_b 8.861
_cell_length_c 7.203
_cell_angle_alpha 90.00
_cell_angle_beta 90.06
_cell_angle_gamma 90.00
_symmetry_space_group_name_H-M 'P 1'
_symmetry_Int_Tables_number 1
loop_
_symmetry_equiv_pos_as_xyz
'x,y,z'
loop_
_atom_site_label
_atom_site_type_symbol
_atom_site_fract_x
_atom_site_fract_y
_atom_site_fract_z
Ac1 Ac 0.223 0.000 0.328
Ac2 Ac 0.228 0.500 0.324
Ac3 Ac 0.270 0.255 0.825
Ac4 Ac 0.270 0.745 0.825
Ac5 Ac 0.730 0.255 0.175
Ac6 Ac 0.730 0.745 0.175
Ac7 Ac 0.772 0.500 0.676
Ac8 Ac 0.777 0.000 0.672
Ir1 Ir 0.500 0.500 0.000
Pt1 Pt 0.500 0.000 0.000
Rh1 Rh 0.000 0.250 0.500
Rh2 Rh 0.000 0.750 0.500
```

***

(5)
An optimized crystal structure of Ac5IrPtRh2. Source: the Alexandria database, functional GGA-PBE.

Summary:
Crystal system ... orthorhombic
Energy relative to the elements ... -0.5938 eV per atom

Geometry as CIF:
```
data_Ac5IrPtRh2
_chemical_formula_sum 'Ac10 Ir2 Pt2 Rh4'
_cell_length_a 10.498
_cell_length_b 10.498
_cell_length_c 12.737
_cell_angle_alpha 90.00
_cell_angle_beta 90.00
_cell_angle_gamma 156.55
_symmetry_space_group_name_H-M 'P 1'
_symmetry_Int_Tables_number 1
loop_
_symmetry_equiv_pos_as_xyz
'x,y,z'
loop_
_atom_site_label
_atom_site_type_symbol
_atom_site_fract_x
_atom_site_fract_y
_atom_site_fract_z
Ac1 Ac 0.027 0.973 0.500
Ac2 Ac 0.168 0.832 0.011
Ac3 Ac 0.179 0.821 0.343
Ac4 Ac 0.198 0.802 0.676
Ac5 Ac 0.463 0.537 0.252
Ac6 Ac 0.537 0.463 0.752
Ac7 Ac 0.802 0.198 0.176
Ac8 Ac 0.821 0.179 0.843
Ac9 Ac 0.832 0.168 0.511
Ac10 Ac 0.973 0.027 0.000
Ir1 Ir 0.350 0.650 0.681
Ir2 Ir 0.650 0.350 0.181
Pt1 Pt 0.057 0.943 0.191
Pt2 Pt 0.943 0.057 0.691
Rh1 Rh 0.324 0.676 0.341
Rh2 Rh 0.380 0.620 0.049
Rh3 Rh 0.620 0.380 0.549
Rh4 Rh 0.676 0.324 0.841
```

***

(6)
An optimized crystal structure of Ac6IrRu2Pt. Source: the Alexandria database, functional GGA-PBE.

Summary:
Crystal system ... trigonal
Energy relative to the elements ... -0.4511 eV per atom

Geometry as CIF:
```
data_Ac6IrRu2Pt
_chemical_formula_sum 'Ac6 Ir1 Ru2 Pt1'
_cell_length_a 8.059
_cell_length_b 8.059
_cell_length_c 8.059
_cell_angle_alpha 55.46
_cell_angle_beta 55.46
_cell_angle_gamma 55.46
_symmetry_space_group_name_H-M 'P 1'
_symmetry_Int_Tables_number 1
loop_
_symmetry_equiv_pos_as_xyz
'x,y,z'
loop_
_atom_site_label
_atom_site_type_symbol
_atom_site_fract_x
_atom_site_fract_y
_atom_site_fract_z
Ac1 Ac 0.000 0.329 0.671
Ac2 Ac 0.179 0.835 0.492
Ac3 Ac 0.329 0.671 0.000
Ac4 Ac 0.492 0.179 0.835
Ac5 Ac 0.671 0.000 0.329
Ac6 Ac 0.835 0.492 0.179
Ir1 Ir 0.251 0.251 0.251
Ru1 Ru 0.086 0.086 0.086
Ru2 Ru 0.587 0.587 0.587
Pt1 Pt 0.751 0.751 0.751
```